No. 1
KInNCl after structural relaxation. Source: the Alexandria database, functional PBE-GGA.

a b c (Å): 5.944 5.934 7.294
angles (deg): 90.00 114.04 90.00
Space group Cm (No. 8)
Asymmetric unit:
K  0.000  0.000  0.000
In  0.303  0.000  0.612
N  0.468  0.000  0.920
Cl  0.089  0.500  0.185

Results
Calculated density ... 2.9 g/cm3
Offset from the most stable computed form ... 0.680 eV/atom
Calculated total energy ... -27.0 eV/cell
ΔE_f (raw) ... 48 kJ/mol of formula units

No. 2
YZnRe2 after structural relaxation. Source: the Alexandria database, functional PBE-GGA.

a b c (Å): 8.231 3.263 5.956
angles (deg): 90.00 101.22 90.00
Space group Cm (No. 8)
Asymmetric unit:
Y  0.000  0.000  0.000
Zn  0.239  0.000  0.695
Re  0.266  0.500  0.340
Re  0.494  0.000  0.479

Results
Calculated density ... 11.1 g/cm3
Energy of formation ... 0.247 eV per atom
Calculated total energy ... -63.3 eV/cell

No. 3
Sm4Tm4MgO12 after structural relaxation. Source: the Alexandria database, functional PBE-GGA.

a b c (Å): 5.760 6.219 8.581
angles (deg): 86.40 89.02 89.89
Space group P1 (No. 1)
Asymmetric unit:
Sm  0.000  0.000  0.000
Sm  0.037  0.865  0.474
Sm  0.483  0.393  0.531
Sm  0.545  0.599  0.076
Tm  0.033  0.437  0.258
Tm  0.531  0.993  0.272
Tm  0.540  0.879  0.736
Tm  0.989  0.451  0.764
Mg  0.460  0.248  0.900
O  0.182  0.373  0.023
O  0.230  0.166  0.359
O  0.265  0.675  0.645
O  0.275  0.168  0.717
O  0.326  0.658  0.316
O  0.407  0.938  0.006
O  0.665  0.001  0.506
O  0.719  0.275  0.176
O  0.772  0.161  0.816
O  0.841  0.727  0.874
O  0.851  0.785  0.215
O  0.864  0.507  0.514

Results
Calculated density ... 8.1 g/cm3
Offset from the most stable computed form ... 0.027 eV/atom
Calculated total energy ... -164.1 eV/cell
ΔE_f (raw) ... -6395 kJ/mol of formula units

No. 4
Nd3Y6Er2In after structural relaxation. Source: the Alexandria database, functional PBE-GGA.

a b c (Å): 6.178 10.700 11.685
angles (deg): 90.00 100.17 90.00
Space group C2/m (No. 12)
Asymmetric unit:
Nd  0.000  0.000  0.000
Nd  0.000  0.333  0.000
Y  0.244  0.336  0.742
Y  0.247  0.500  0.257
Er  0.000  0.166  0.500
In  0.000  0.500  0.500

Results
Calculated density ... 6.2 g/cm3
Energy of formation ... -0.037 eV per atom
Calculated total energy ... -130.8 eV/cell

No. 5
Tb5Ho2Th after structural relaxation. Source: the Alexandria database, functional PBE-GGA.

a b c (Å): 7.109 14.235 5.029
angles (deg): 90.00 90.00 90.00
Space group Pbam (No. 55)
Asymmetric unit:
Tb  0.000  0.000  0.000
Tb  0.003  0.251  0.000
Tb  0.247  0.377  0.500
Ho  0.243  0.623  0.500
Th  0.000  0.500  0.000

Results
Calculated density ... 8.9 g/cm3
Energy of formation ... 0.025 eV per atom
Calculated total energy ... -79.0 eV/cell

No. 6
Ac3AgRh after structural relaxation. Source: the Alexandria database, functional PBE-GGA.

a b c (Å): 4.340 14.201 11.244
angles (deg): 90.00 90.00 90.00
Space group Cmcm (No. 63)
Asymmetric unit:
Ac  0.000  0.070  0.250
Ac  0.000  0.365  0.059
Ag  0.000  0.252  0.750
Rh  0.000  0.000  0.000

Results
Calculated density ... 8.5 g/cm3
Energy of formation ... -0.433 eV per atom
Offset from the most stable computed form ... 0.000 eV/atom
Calculated total energy ... -98.8 eV/cell

No. 7
TlRe2W after structural relaxation. Source: the Alexandria database, functional PBE-GGA.

a b c (Å): 7.593 7.593 5.426
angles (deg): 90.00 90.00 90.00
Space group I-42d (No. 122)
Asymmetric unit:
Tl  0.000  0.000  0.000
Re  0.195  0.750  0.625
W  0.000  0.000  0.500

Results
Calculated density ... 16.2 g/cm3
Energy of formation ... 1.278 eV per atom
Offset from the most stable computed form ... 0.712 eV/atom
Calculated total energy ... -140.4 eV/cell

No. 8
Mn2ZnRhN after structural relaxation. Source: the Alexandria database, functional PBE-GGA.

a b c (Å): 3.778 3.778 4.193
angles (deg): 90.00 90.00 90.00
Space group P4/mmm (No. 123)
Asymmetric unit:
Mn  0.000  0.500  0.000
Zn  0.000  0.000  0.500
Rh  0.500  0.500  0.500
N  0.500  0.500  0.000

Results
Calculated density ... 8.1 g/cm3
Calculated total energy ... -36.2 eV/cell
ΔE_f (raw) ... -89 kJ/mol of formula units

Q: Number 8 is which compound?
A: Mn2ZnRhN